# 1
Computed, not measured: crystalline Be2MoCl at its relaxed geometry at the PBE-GGA level of DFT.

The structure belongs to space group F-43m (No. 216); the cell edges are 5.904, 5.904 and 5.904 Å and the angles 90.00°, 90.00° and 90.00°. The asymmetric unit holds Be at (0.000, 0.000, 0.000), Be at (0.250, 0.250, 0.250), Mo at (0.000, 0.000, 0.500) and Cl at (0.250, 0.250, 0.750).

For the total energy, the calculation gives -16.39 eV/f.u. Its relative energy among the computed polymorphs is 71.8 kJ per mole of atoms. Its density of states at the Fermi level is 0.84 states/eV per atom. As for the uncorrected formation energy: 0.935 eV per atom.

---

# 2
Computed, not measured: crystalline BeMoCl at its relaxed geometry at the PBE-GGA level of DFT.

The structure belongs to space group F-43m (No. 216); the cell edges are 5.775, 5.775 and 5.775 Å and the angles 90.00°, 90.00° and 90.00°. The asymmetric unit holds Be at (0.000, 0.000, 0.000), Mo at (0.250, 0.250, 0.750) and Cl at (0.000, 0.000, 0.500).

For the total energy, the calculation gives -12.91 eV/f.u. Its relative energy among the computed polymorphs is 81.3 kJ per mole of atoms. Its density of states at the Fermi level is 1.05 states/eV per atom. As for the uncorrected formation energy: 1.165 eV per atom.

---

# 3
Computed, not measured: crystalline Na2BeMoCl at its relaxed geometry at the PBE-GGA level of DFT.

The structure belongs to space group P4/mmm (No. 123); the cell edges are 5.992, 5.992 and 4.405 Å and the angles 90.00°, 90.00° and 90.00°. The asymmetric unit holds Na at (0.000, 0.500, 0.000), Be at (0.000, 0.000, 0.500), Mo at (0.000, 0.000, 0.000) and Cl at (0.500, 0.500, 0.500).

For the total energy, the calculation gives -14.36 eV/f.u. Its density of states at the Fermi level is 0.58 states/eV per atom. As for the uncorrected formation energy: 0.936 eV per atom.

---

# 4
Computed, not measured: crystalline BeMoPt2Cl at its relaxed geometry at the PBE-GGA level of DFT.

The structure belongs to space group P4/mmm (No. 123); the cell edges are 4.285, 4.285 and 4.507 Å and the angles 90.00°, 90.00° and 90.00°. The asymmetric unit holds Be at (0.000, 0.000, 0.000), Mo at (0.500, 0.500, 0.500), Pt at (0.000, 0.500, 0.000) and Cl at (0.000, 0.000, 0.500).

For the total energy, the calculation gives -25.47 eV/f.u. Its density of states at the Fermi level is 0.86 states/eV per atom. As for the uncorrected formation energy: 0.602 eV per atom.

---

# 5
Computed, not measured: crystalline Rb2BeMoCl6 at its relaxed geometry at the PBE-GGA level of DFT.

The structure belongs to space group I4/mmm (No. 139); the cell edges are 6.911, 6.911 and 10.665 Å and the angles 90.00°, 90.00° and 90.00°. The asymmetric unit holds Rb at (0.000, 0.500, 0.250), Be at (0.000, 0.000, 0.000), Mo at (0.000, 0.000, 0.500), Cl at (0.000, 0.000, 0.268) and Cl at (0.226, 0.226, 0.000).

For the total energy, the calculation gives -39.06 eV/f.u. Its density of states at the Fermi level is 0.09 states/eV per atom. As for the uncorrected formation energy: -1.149 eV per atom.

---

# 6
Computed, not measured: crystalline BeMo2SCl at its relaxed geometry at the PBE-GGA level of DFT.

The structure belongs to space group P4/mmm (No. 123); the cell edges are 4.572, 4.572 and 3.637 Å and the angles 90.00°, 90.00° and 90.00°. The asymmetric unit holds Be at (0.000, 0.000, 0.000), Mo at (0.000, 0.500, 0.500), S at (0.500, 0.500, 0.000) and Cl at (0.000, 0.000, 0.500).

For the total energy, the calculation gives -25.19 eV/f.u. Its density of states at the Fermi level is 1.00 states/eV per atom. As for the uncorrected formation energy: 1.234 eV per atom.

---

# 7
Computed, not measured: crystalline BeSbMoCl2 at its relaxed geometry at the PBE-GGA level of DFT.

The structure belongs to space group P4/mmm (No. 123); the cell edges are 4.093, 4.093 and 9.162 Å and the angles 90.00°, 90.00° and 90.00°. The asymmetric unit holds Be at (0.000, 0.000, 0.000), Sb at (0.500, 0.500, 0.500), Mo at (0.000, 0.000, 0.500) and Cl at (0.000, 0.500, 0.000).

For the total energy, the calculation gives -21.26 eV/f.u. Its density of states at the Fermi level is 0.19 states/eV per atom. As for the uncorrected formation energy: 0.223 eV per atom.

---

# 8
Computed, not measured: crystalline Ta2BeMoCl at its relaxed geometry at the PBE-GGA level of DFT.

The structure belongs to space group P4/mmm (No. 123); the cell edges are 4.878, 4.878 and 4.412 Å and the angles 90.00°, 90.00° and 90.00°. The asymmetric unit holds Ta at (0.000, 0.500, 0.000), Be at (0.000, 0.000, 0.500), Mo at (0.000, 0.000, 0.000) and Cl at (0.500, 0.500, 0.500).

For the total energy, the calculation gives -33.02 eV/f.u. Its density of states at the Fermi level is 0.94 states/eV per atom. As for the uncorrected formation energy: 1.417 eV per atom.

---

# 9
Computed, not measured: crystalline ZrBe2MoCl at its relaxed geometry at the PBE-GGA level of DFT.

The structure belongs to space group P4/mmm (No. 123); the cell edges are 4.267, 4.267 and 4.628 Å and the angles 90.00°, 90.00° and 90.00°. The asymmetric unit holds Zr at (0.000, 0.000, 0.000), Be at (0.000, 0.500, 0.500), Mo at (0.500, 0.500, 0.500) and Cl at (0.500, 0.500, 0.000).

For the total energy, the calculation gives -24.78 eV/f.u. Its density of states at the Fermi level is 0.76 states/eV per atom. As for the uncorrected formation energy: 0.781 eV per atom.

---

# 10
Computed, not measured: crystalline BeNCl3 at its relaxed geometry at the PBE-GGA level of DFT.

The structure belongs to space group Pm-3m (No. 221); the cell edges are 4.379, 4.379 and 4.379 Å and the angles 90.00°, 90.00° and 90.00°. The asymmetric unit holds Be at (0.000, 0.000, 0.000), N at (0.500, 0.500, 0.500) and Cl at (0.000, 0.500, 0.500).

For the total energy, the calculation gives -11.70 eV/f.u. Its relative energy among the computed polymorphs is 51.2 kJ per mole of atoms. Its density of states at the Fermi level is 0.44 states/eV per atom. As for the uncorrected formation energy: 1.177 eV per atom.

---

# 11
Computed, not measured: crystalline BeNCl3 at its relaxed geometry at the PBE-GGA level of DFT.

The structure belongs to space group Pm-3m (No. 221); the cell edges are 4.524, 4.524 and 4.524 Å and the angles 90.00°, 90.00° and 90.00°. The asymmetric unit holds Be at (0.000, 0.000, 0.000), N at (0.500, 0.500, 0.500) and Cl at (0.000, 0.000, 0.500).

For the total energy, the calculation gives -14.36 eV/f.u. Its relative energy among the computed polymorphs is 0.0 kJ per mole of atoms. Its density of states at the Fermi level is 0.80 states/eV per atom. As for the uncorrected formation energy: 0.647 eV per atom.

---

# 12
Computed, not measured: crystalline BePNCl2 at its relaxed geometry at the PBE-GGA level of DFT.

The structure belongs to space group P4/mmm (No. 123); the cell edges are 4.392, 4.392 and 4.610 Å and the angles 90.00°, 90.00° and 90.00°. The asymmetric unit holds Be at (0.000, 0.000, 0.000), P at (0.000, 0.000, 0.500), N at (0.500, 0.500, 0.500) and Cl at (0.000, 0.500, 0.000).

For the total energy, the calculation gives -15.76 eV/f.u. Its relative energy among the computed polymorphs is 0.0 kJ per mole of atoms. Its density of states at the Fermi level is 0.47 states/eV per atom. As for the uncorrected formation energy: 1.080 eV per atom.

---

# 13
Computed, not measured: crystalline BePNCl2 at its relaxed geometry at the PBE-GGA level of DFT.

The structure belongs to space group P4/mmm (No. 123); the cell edges are 5.635, 5.635 and 3.269 Å and the angles 90.00°, 90.00° and 90.00°. The asymmetric unit holds Be at (0.000, 0.000, 0.000), P at (0.500, 0.500, 0.000), N at (0.500, 0.500, 0.500) and Cl at (0.000, 0.500, 0.500).

For the total energy, the calculation gives -15.70 eV/f.u. Its relative energy among the computed polymorphs is 1.1 kJ per mole of atoms. Its density of states at the Fermi level is 0.84 states/eV per atom. As for the uncorrected formation energy: 1.092 eV per atom.

---

# 14
Computed, not measured: crystalline Rb2BeNCl6 at its relaxed geometry at the PBE-GGA level of DFT.

The structure belongs to space group I4/mmm (No. 139); the cell edges are 7.634, 7.634 and 9.376 Å and the angles 90.00°, 90.00° and 90.00°. The asymmetric unit holds Rb at (0.000, 0.500, 0.250), Be at (0.000, 0.000, 0.000), N at (0.000, 0.000, 0.500), Cl at (0.000, 0.000, 0.308) and Cl at (0.200, 0.200, 0.000).

For the total energy, the calculation gives -31.52 eV/f.u. Its density of states at the Fermi level is 0.06 states/eV per atom. As for the uncorrected formation energy: -0.645 eV per atom.

---

Looking at V for the records above, in order, we have 205.8; 192.6; 158.1; 82.8; 509.4; 76.0; 153.5; 105.0; 84.3; 83.9; 92.6; 88.9; 103.8; 546.5 Å³ per cell.
Looking at total magnetization for the records above, in order, we have 0.2232; 0.2920; 0.7663; 0.6611; 0.4000; 0.2984; 0.6013; 0.0000; 0.0000; 0.0000; 0.4166; 0.3427; 0.0000; 0.3041 μB/atom.